Entry 1:
! Li5Cl | Alexandria via LeMat-Bulk | GGA-PBE | optimized geometry; values from VASP
&SYSTEM
  ibrav = 0, nat = 6, ntyp = 2
/
ATOMIC_SPECIES
Li 6.94 Li.upf
Cl 35.45 Cl.upf
CELL_PARAMETERS angstrom
1.8767 -8.3726 0.0000
1.8767 8.3726 0.0000
0.0000 0.0000 4.0395
ATOMIC_POSITIONS angstrom
Li 1.8767 3.5064 0.0000
Li 1.8767 -2.3306 0.0000
Li 1.8767 1.0685 2.0197
Li 1.8767 -4.7133 2.0197
Li 1.8767 6.0535 2.0197
Cl 1.8767 7.5789 0.0000
! - Formation energy (no corrections): -413 meV/atom
! - SG: No. 38



Entry 2:
! Ac3In2Ag | Alexandria via LeMat-Bulk | GGA-PBE | optimized geometry; values from VASP
&SYSTEM
  ibrav = 0, nat = 6, ntyp = 3
/
ATOMIC_SPECIES
Ac 227.00 Ac.upf
In 114.82 In.upf
Ag 107.87 Ag.upf
CELL_PARAMETERS angstrom
3.9283 0.0000 0.0000
0.0000 3.9283 0.0000
0.0000 0.0000 12.9750
ATOMIC_POSITIONS angstrom
Ac 0.0000 0.0000 0.0000
Ac 0.0000 0.0000 8.4982
Ac 0.0000 0.0000 4.4768
In 1.9641 1.9641 10.7018
In 1.9641 1.9641 2.2732
Ag 1.9641 1.9641 6.4875
! - ΔE_f: -35.3 kJ/mol of atoms
! - SG: No. 123



Entry 3:
! Cr2HPdRh | Alexandria via LeMat-Bulk | GGA-PBE | optimized geometry; values from VASP
&SYSTEM
  ibrav = 0, nat = 5, ntyp = 4
/
ATOMIC_SPECIES
Cr 52.00 Cr.upf
Rh 102.91 Rh.upf
Pd 106.42 Pd.upf
H 1.01 H.upf
CELL_PARAMETERS angstrom
-0.2506 0.6202 3.7166
-1.5966 -3.3914 0.4583
3.4963 -1.5786 0.4992
ATOMIC_POSITIONS angstrom
Cr -0.7983 -1.6957 0.2291
Cr -0.1253 0.3101 1.8583
Rh 0.8246 -2.1749 2.3370
Pd 1.7482 -0.7893 0.2496
H 0.0000 0.0000 0.0000
! - SG: No. 123



Entry 4:
! Co3HgRh | Alexandria via LeMat-Bulk | GGA-PBE | optimized geometry; values from VASP
&SYSTEM
  ibrav = 0, nat = 5, ntyp = 3
/
ATOMIC_SPECIES
Co 58.93 Co.upf
Rh 102.91 Rh.upf
Hg 200.59 Hg.upf
CELL_PARAMETERS angstrom
4.5653 0.0000 0.0000
0.0000 4.5653 0.0000
0.0000 0.0000 4.5653
ATOMIC_POSITIONS angstrom
Co 0.0000 2.2827 0.0000
Co 0.0000 0.0000 2.2827
Co 2.2827 0.0000 0.0000
Rh 0.0000 0.0000 0.0000
Hg 2.2827 2.2827 2.2827
! - ΔE_f: 117.5 kJ/mol of atoms
! - SG: No. 221



Here are the calculated E above lowest polymorph numbers, same order: 53, 0, 33, 0 (meV/atom).
Here are the calculated total DFT energy (no corrections) numbers, same order: -13.89, -22.85, -34.67, -22.88 (eV per cell).
Here are the calculated DOS(E_F) numbers, same order: 2.8, 6.1, 4.8, 6.0 (states/eV per cell).